InPtNO: optimized geometry, PBE-GGA.

Properties
Uncorrected energy: -5.27 eV per atom
Total magnetic moment: 0.0 μB per formula unit
Volume: 98.33 Å³/cell
Energy above the lowest structure with this stoichiometry: 345 meV/atom
ρ: 11.48 Mg/m³

Unit cell a=4.6633 b=4.6633 c=4.5219 alpha=90.00 beta=90.00 gamma=90.00
Last column: nearest neighbours and their distance in Å.
Fractional coordinates of all 8 atoms:
In 0.7500 0.2500 0.5000  2 O 2.26, 4 N 2.33
In 0.2500 0.7500 0.5000  2 O 2.26, 4 N 2.33
N 0.7500 0.7500 0.4902  2 Pt 2.24-2.28, 4 In 2.33
N 0.2500 0.2500 0.5098  2 Pt 2.24-2.28, 4 In 2.33
O 0.7500 0.2500 0.0000  2 In 2.26, 4 Pt 2.33
O 0.2500 0.7500 0.0000  2 In 2.26, 4 Pt 2.33
Pt 0.2500 0.2500 0.0060  2 N 2.24-2.28, 4 O 2.33
Pt 0.7500 0.7500 0.9940  2 N 2.24-2.28, 4 O 2.33

InPtNO: optimized geometry, PBE-GGA.

Properties
Uncorrected energy: -5.51 eV per atom
Total magnetic moment: 0.0 μB per formula unit
Volume: 120.37 Å³/cell
Energy above the lowest structure with this stoichiometry: 106 meV/atom
ρ: 9.38 Mg/m³

Unit cell a=3.7452 b=4.8864 c=6.5775 alpha=90.00 beta=90.00 gamma=90.00
Last column: nearest neighbours and their distance in Å.
Fractional coordinates of all 8 atoms:
In 0.5000 0.9790 0.1675  2 O 2.12-2.14, 2 N 2.13
In 0.5000 0.4790 0.8325  2 O 2.12-2.14, 2 N 2.13
N 0.0000 0.8663 0.2978  2 Pt 1.98-1.99, 2 In 2.13
N 0.0000 0.3663 0.7022  2 Pt 1.98-1.99, 2 In 2.13
O 0.5000 0.4166 0.1520  2 In 2.12-2.14
O 0.5000 0.9166 0.8480  2 In 2.12-2.14
Pt 0.0000 0.4921 0.4151  2 N 1.98-1.99
Pt 0.0000 0.9921 0.5849  2 N 1.98-1.99

InReNO: optimized geometry, PBE-GGA.

Properties
Uncorrected energy: -7.37 eV per atom
Total magnetic moment: 0.0 μB per formula unit
Volume: 119.54 Å³/cell
Energy above the lowest structure with this stoichiometry: 47 meV/atom
ρ: 9.20 Mg/m³

Unit cell a=2.9025 b=7.0917 c=5.8078 alpha=90.00 beta=90.00 gamma=90.00
Last column: nearest neighbours and their distance in Å.
Fractional coordinates of all 8 atoms:
In 0.5000 0.0760 0.1567  2 O 2.32-2.44
In 0.5000 0.5760 0.8433  2 O 2.32-2.44
N 0.0000 0.7575 0.4189  2 Re 1.81-1.96
N 0.0000 0.2575 0.5811  2 Re 1.81-1.96
O 0.5000 0.4185 0.1937  2 Re 2.07
O 0.5000 0.9185 0.8063  2 Re 2.07
Re 0.0000 0.5020 0.4254  2 N 1.81-1.96
Re 0.0000 0.0020 0.5746  2 N 1.81-1.96

InReNO: optimized geometry, PBE-GGA.

Properties
Uncorrected energy: -6.93 eV per atom
Total magnetic moment: 0.0 μB per formula unit
Volume: 141.77 Å³/cell
Energy above the lowest structure with this stoichiometry: 486 meV/atom
ρ: 7.75 Mg/m³

Unit cell a=4.1189 b=4.1189 c=8.5038 alpha=90.00 beta=90.00 gamma=100.69
Last column: nearest neighbours and their distance in Å.
Fractional coordinates of all 8 atoms:
In 0.7500 0.2500 0.5000  2 In 2.63, 4 N 2.84
In 0.2500 0.7500 0.5000  2 In 2.63, 4 N 2.84
N 0.7500 0.7500 0.2695  1 Re 1.73
N 0.2500 0.2500 0.7305  1 Re 1.73
O 0.7500 0.2500 0.0000  4 Re 2.14
O 0.2500 0.7500 0.0000  4 Re 2.14
Re 0.7500 0.7500 0.0662  1 N 1.73
Re 0.2500 0.2500 0.9338  1 N 1.73